(a)
First-principles (PBE) data for crystalline GePbSeBr2 at its relaxed geometry, as listed in Alexandria.

Lattice parameters (Å, degrees): 5.6733 5.6733 5.6456 90.00 90.00 90.00
Closest atoms and distances in Å follow each position.
Element x y z (fractional)
Ge (0.0000, 0.0000, 0.0000)  8 Br 4.00, 4 Se 4.01
Pb (0.5000, 0.5000, 0.5000)  2 Se 2.82, 4 Br 2.84
Se (0.5000, 0.5000, 0.0000)  2 Pb 2.82
Br (0.0000, 0.5000, 0.5000)  2 Pb 2.84
Br (0.5000, 0.0000, 0.5000)  2 Pb 2.84

Output
Total magnetic moment   0.43 Bohr magnetons per cell
Calculated density   4.7 Mg/m³

---

(b)
First-principles (PBE) data for crystalline GePbSeBr2 at its relaxed geometry, as listed in Alexandria.

Lattice parameters (Å, degrees): 5.2873 5.2873 5.3742 90.00 90.00 90.00
Closest atoms and distances in Å follow each position.
Element x y z (fractional)
Ge (0.0000, 0.0000, 0.0000)  4 Br 2.64, 2 Se 2.69
Pb (0.5000, 0.5000, 0.5000)  4 Se 3.74, 8 Br 3.77
Se (0.0000, 0.0000, 0.5000)  2 Ge 2.69
Br (0.0000, 0.5000, 0.0000)  2 Ge 2.64
Br (0.5000, 0.0000, 0.0000)  2 Ge 2.64

Output
Total magnetic moment   0.00 Bohr magnetons per cell
Calculated density   5.7 Mg/m³

---

Stability ranking, top and bottom: (b) is the most stable and (a) is the least stable.

---

(a)
First-principles (PBE) data for crystalline Ge2Pd2Br at its relaxed geometry, as listed in Alexandria.

Lattice parameters (Å, degrees): 7.4997 7.4997 3.3165 90.00 90.00 90.00
Closest atoms and distances in Å follow each position.
Element x y z (fractional)
Ge (0.1425, 0.3575, 0.0000)  6 Pd 2.66-2.88
Ge (0.3575, 0.8575, 0.0000)  6 Pd 2.66-2.88
Ge (0.6425, 0.1425, 0.0000)  6 Pd 2.66-2.88
Ge (0.8575, 0.6425, 0.0000)  6 Pd 2.66-2.88
Pd (0.1349, 0.6349, 0.5000)  6 Ge 2.66-2.88, 1 Pd 2.86, 2 Br 2.92
Pd (0.3651, 0.1349, 0.5000)  6 Ge 2.66-2.88, 1 Pd 2.86, 2 Br 2.92
Pd (0.6349, 0.8651, 0.5000)  6 Ge 2.66-2.88, 1 Pd 2.86, 2 Br 2.92
Pd (0.8651, 0.3651, 0.5000)  6 Ge 2.66-2.88, 1 Pd 2.86, 2 Br 2.92
Br (0.0000, 0.0000, 0.5000)  4 Pd 2.92
Br (0.5000, 0.5000, 0.5000)  4 Pd 2.92

Output
Total magnetic moment   0.00 Bohr magnetons per cell
Calculated density   7.8 Mg/m³

---

(b)
First-principles (PBE) data for crystalline Ge2Pd2Br at its relaxed geometry, as listed in Alexandria.

Lattice parameters (Å, degrees): 4.0816 4.0816 11.7242 90.00 90.00 90.00
Closest atoms and distances in Å follow each position.
Element x y z (fractional)
Ge (0.0000, 0.0000, 0.1158)  4 Pd 2.58, 1 Ge 2.72
Ge (0.0000, 0.0000, 0.8842)  4 Pd 2.58, 1 Ge 2.72
Ge (0.5000, 0.5000, 0.3842)  4 Pd 2.58, 1 Ge 2.72
Ge (0.5000, 0.5000, 0.6158)  4 Pd 2.58, 1 Ge 2.72
Pd (0.0000, 0.5000, 0.2500)  4 Ge 2.58, 4 Pd 2.89
Pd (0.0000, 0.5000, 0.7500)  4 Ge 2.58, 4 Pd 2.89
Pd (0.5000, 0.0000, 0.2500)  4 Ge 2.58, 4 Pd 2.89
Pd (0.5000, 0.0000, 0.7500)  4 Ge 2.58, 4 Pd 2.89
Br (0.0000, 0.0000, 0.5000)  8 Ge 3.19, 8 Pd 3.57
Br (0.5000, 0.5000, 0.0000)  8 Ge 3.19, 8 Pd 3.57

Output
Total magnetic moment   0.00 Bohr magnetons per cell
Calculated density   7.4 Mg/m³

---

Stability ranking, top and bottom: (b) is the most stable and (a) is the least stable.

---

(a)
First-principles (PBE) data for crystalline GePdSeBr2 at its relaxed geometry, as listed in Alexandria.

Lattice parameters (Å, degrees): 5.2001 5.2001 5.1589 90.00 90.00 90.00
Closest atoms and distances in Å follow each position.
Element x y z (fractional)
Ge (0.0000, 0.0000, 0.0000)  2 Se 2.58, 4 Br 2.60
Pd (0.5000, 0.5000, 0.5000)  8 Br 3.66, 4 Se 3.68
Se (0.0000, 0.0000, 0.5000)  2 Ge 2.58
Br (0.0000, 0.5000, 0.0000)  2 Ge 2.60
Br (0.5000, 0.0000, 0.0000)  2 Ge 2.60

Output
Total magnetic moment   1.37 Bohr magnetons per cell
Calculated density   5.0 Mg/m³

---

(b)
First-principles (PBE) data for crystalline GePdSeBr2 at its relaxed geometry, as listed in Alexandria.

Lattice parameters (Å, degrees): 5.0281 5.0281 5.1177 90.00 90.00 90.00
Closest atoms and distances in Å follow each position.
Element x y z (fractional)
Ge (0.0000, 0.0000, 0.0000)  4 Se 3.56, 8 Br 3.59
Pd (0.5000, 0.5000, 0.5000)  4 Br 2.51, 2 Se 2.56
Se (0.5000, 0.5000, 0.0000)  2 Pd 2.56
Br (0.0000, 0.5000, 0.5000)  2 Pd 2.51
Br (0.5000, 0.0000, 0.5000)  2 Pd 2.51

Output
Total magnetic moment   0.00 Bohr magnetons per cell
Calculated density   5.4 Mg/m³

---

Stability ranking, top and bottom: (b) is the most stable and (a) is the least stable.

---

(a)
First-principles (PBE) data for crystalline Pm4Ge3Br at its relaxed geometry, as listed in Alexandria.

Lattice parameters (Å, degrees): 8.5390 12.0552 4.2939 90.00 90.00 90.00
Closest atoms and distances in Å follow each position.
Element x y z (fractional)
Pm (0.0000, 0.2459, 0.0000)  5 Ge 2.96-3.03, 1 Br 3.06
Pm (0.0000, 0.7541, 0.0000)  5 Ge 2.96-3.03, 1 Br 3.06
Pm (0.2331, 0.0000, 0.5000)  4 Ge 2.93-3.02, 2 Br 3.13
Pm (0.2669, 0.5000, 0.5000)  4 Ge 2.93-3.02, 2 Br 3.13
Pm (0.5000, 0.2541, 0.0000)  5 Ge 2.96-3.03, 1 Br 3.06
Pm (0.5000, 0.7459, 0.0000)  5 Ge 2.96-3.03, 1 Br 3.06
Pm (0.7331, 0.5000, 0.5000)  4 Ge 2.93-3.02, 2 Br 3.13
Pm (0.7669, 0.0000, 0.5000)  4 Ge 2.93-3.02, 2 Br 3.13
Ge (0.0000, 0.0000, 0.0000)  6 Pm 2.93-2.96
Ge (0.2500, 0.2500, 0.5000)  6 Pm 3.02-3.03
Ge (0.2500, 0.7500, 0.5000)  6 Pm 3.02-3.03
Ge (0.5000, 0.5000, 0.0000)  6 Pm 2.93-2.96
Ge (0.7500, 0.2500, 0.5000)  6 Pm 3.02-3.03
Ge (0.7500, 0.7500, 0.5000)  6 Pm 3.02-3.03
Br (0.0000, 0.5000, 0.0000)  6 Pm 3.06-3.13
Br (0.5000, 0.0000, 0.0000)  6 Pm 3.06-3.13

Output
Total magnetic moment   0.00 Bohr magnetons per cell
Calculated density   6.6 Mg/m³

---

(b)
First-principles (PBE) data for crystalline Pm4Ge3Br at its relaxed geometry, as listed in Alexandria.

Lattice parameters (Å, degrees): 6.0129 6.0129 6.0129 90.00 90.00 90.00
Closest atoms and distances in Å follow each position.
Element x y z (fractional)
Pm (0.0000, 0.0000, 0.0000)  6 Ge 3.01
Pm (0.0000, 0.5000, 0.5000)  4 Ge 3.01, 2 Br 3.01
Pm (0.5000, 0.0000, 0.5000)  4 Ge 3.01, 2 Br 3.01
Pm (0.5000, 0.5000, 0.0000)  4 Ge 3.01, 2 Br 3.01
Ge (0.0000, 0.0000, 0.5000)  6 Pm 3.01
Ge (0.0000, 0.5000, 0.0000)  6 Pm 3.01
Ge (0.5000, 0.0000, 0.0000)  6 Pm 3.01
Br (0.5000, 0.5000, 0.5000)  6 Pm 3.01

Output
Total magnetic moment   0.00 Bohr magnetons per cell
Calculated density   6.7 Mg/m³

---

Stability ranking, top and bottom: (a) is the most stable and (b) is the least stable.

---

(a)
First-principles (PBE) data for crystalline Pm4Ge2Br at its relaxed geometry, as listed in Alexandria.

Lattice parameters (Å, degrees): 7.8593 7.8593 7.8593 110.11 110.11 108.20
Closest atoms and distances in Å follow each position.
Element x y z (fractional)
Pm (0.0002, 0.7435, 0.1092)  4 Ge 2.94-3.28, 1 Br 3.00
Pm (0.1090, 0.9998, 0.7433)  4 Ge 2.94-3.28, 1 Br 3.00
Pm (0.1157, 0.5065, 0.7567)  4 Ge 2.94-3.28, 1 Br 3.00
Pm (0.2565, 0.3657, 0.2567)  4 Ge 2.94-3.28, 1 Br 3.00
Pm (0.4935, 0.2502, 0.6092)  4 Ge 2.94-3.28, 1 Br 3.00
Pm (0.6343, 0.8910, 0.8908)  4 Ge 2.94-3.28, 1 Br 3.00
Pm (0.6410, 0.8843, 0.3908)  4 Ge 2.94-3.28, 1 Br 3.00
Pm (0.7498, 0.3590, 0.2433)  4 Ge 2.94-3.28, 1 Br 3.00
Ge (0.0018, 0.1250, 0.3768)  8 Pm 2.94-3.28
Ge (0.3750, 0.9982, 0.1232)  8 Pm 2.94-3.28
Ge (0.7482, 0.6250, 0.6232)  8 Pm 2.94-3.28
Ge (0.8750, 0.2518, 0.8768)  8 Pm 2.94-3.28
Br (0.2500, 0.7500, 0.5000)  4 Pm 3.00
Br (0.5000, 0.5000, 0.0000)  4 Pm 3.00

Output
Total magnetic moment   0.00 Bohr magnetons per cell
Calculated density   7.2 Mg/m³

---

(b)
First-principles (PBE) data for crystalline Pm4Ge2Br at its relaxed geometry, as listed in Alexandria.

Lattice parameters (Å, degrees): 7.4090 6.7525 8.8961 90.00 110.91 90.00
Closest atoms and distances in Å follow each position.
Element x y z (fractional)
Pm (0.0933, 0.2500, 0.0894)  1 Br 2.97, 2 Ge 2.98-3.29
Pm (0.1927, 0.7500, 0.3445)  1 Br 2.90, 2 Ge 3.01-3.05
Pm (0.2780, 0.0026, 0.7648)  1 Br 3.03, 4 Ge 3.05-3.19, 1 Pm 3.34
Pm (0.2780, 0.4974, 0.7648)  1 Br 3.03, 4 Ge 3.05-3.19, 1 Pm 3.34
Pm (0.7220, 0.5026, 0.2352)  1 Br 3.03, 4 Ge 3.05-3.19, 1 Pm 3.34
Pm (0.7220, 0.9974, 0.2352)  1 Br 3.03, 4 Ge 3.05-3.19, 1 Pm 3.34
Pm (0.8073, 0.2500, 0.6555)  1 Br 2.90, 2 Ge 3.01-3.05
Pm (0.9067, 0.7500, 0.9106)  1 Br 2.97, 2 Ge 2.98-3.29
Ge (0.0573, 0.2500, 0.4470)  6 Pm 3.05-3.29, 1 Br 3.40
Ge (0.3352, 0.7500, 0.0667)  6 Pm 2.98-3.19
Ge (0.6648, 0.2500, 0.9333)  6 Pm 2.98-3.19
Ge (0.9427, 0.7500, 0.5530)  6 Pm 3.05-3.29, 1 Br 3.40
Br (0.4696, 0.2500, 0.3619)  4 Pm 2.90-3.03
Br (0.5304, 0.7500, 0.6381)  4 Pm 2.90-3.03

Output
Total magnetic moment   0.00 Bohr magnetons per cell
Calculated density   6.4 Mg/m³

---

Stability ranking, top and bottom: (a) is the most stable and (b) is the least stable.

---

(a)
First-principles (PBE) data for crystalline Pm3Ge2Br at its relaxed geometry, as listed in Alexandria.

Lattice parameters (Å, degrees): 7.8761 7.8761 9.6769 90.00 90.00 147.21
Closest atoms and distances in Å follow each position.
Element x y z (fractional)
Pm (0.1301, 0.8699, 0.5450)  3 Ge 2.92-3.00, 2 Br 3.27
Pm (0.1301, 0.8699, 0.9550)  3 Ge 2.92-3.00, 2 Br 3.27
Pm (0.3663, 0.6337, 0.7500)  4 Ge 2.89-3.15, 2 Br 3.15
Pm (0.6337, 0.3663, 0.2500)  4 Ge 2.89-3.15, 2 Br 3.15
Pm (0.8699, 0.1301, 0.0450)  3 Ge 2.92-3.00, 2 Br 3.27
Pm (0.8699, 0.1301, 0.4550)  3 Ge 2.92-3.00, 2 Br 3.27
Ge (0.0120, 0.9880, 0.2500)  4 Pm 2.89-2.92
Ge (0.5000, 0.5000, 0.0000)  6 Pm 3.00-3.15, 4 Ge 3.29
Ge (0.5000, 0.5000, 0.5000)  6 Pm 3.00-3.15, 4 Ge 3.29
Ge (0.9880, 0.0120, 0.7500)  4 Pm 2.89-2.92
Br (0.2815, 0.7185, 0.2500)  6 Pm 3.15-3.27
Br (0.7185, 0.2815, 0.7500)  6 Pm 3.15-3.27

Output
Total magnetic moment   1.92 Bohr magnetons per cell
Calculated density   6.7 Mg/m³

---

(b)
First-principles (PBE) data for crystalline Pm3Ge2Br at its relaxed geometry, as listed in Alexandria.

Lattice parameters (Å, degrees): 4.2454 6.0129 12.9983 90.00 90.00 90.00
Closest atoms and distances in Å follow each position.
Element x y z (fractional)
Pm (0.0000, 0.0000, 0.0000)  4 Ge 2.99, 2 Br 3.01
Pm (0.0000, 0.0000, 0.3205)  4 Ge 2.96-3.02, 2 Br 3.15
Pm (0.0000, 0.0000, 0.6795)  4 Ge 2.96-3.02, 2 Br 3.15
Pm (0.5000, 0.5000, 0.1795)  4 Ge 2.96-3.02, 2 Br 3.15
Pm (0.5000, 0.5000, 0.5000)  4 Ge 2.99, 2 Br 3.01
Pm (0.5000, 0.5000, 0.8205)  4 Ge 2.96-3.02, 2 Br 3.15
Ge (0.0000, 0.5000, 0.3385)  6 Pm 2.96-3.02
Ge (0.0000, 0.5000, 0.6615)  6 Pm 2.96-3.02
Ge (0.5000, 0.0000, 0.1615)  6 Pm 2.96-3.02
Ge (0.5000, 0.0000, 0.8385)  6 Pm 2.96-3.02
Br (0.0000, 0.5000, 0.0000)  6 Pm 3.01-3.15
Br (0.5000, 0.0000, 0.5000)  6 Pm 3.01-3.15

Output
Total magnetic moment   0.00 Bohr magnetons per cell
Calculated density   6.6 Mg/m³

---

Stability ranking, top and bottom: (b) is the most stable and (a) is the least stable.